Here is crystalline ThCoSnRh at its relaxed geometry from the Alexandria database. Energies are from PBE.

Output
V = 19.54 Å³ per atom
Space group = F-43m
Calculated formation energy = -0.4393 eV/atom
DFT total energy = -27.64 eV for the cell shown

Cell: 4.799 4.799 4.799 Å, 60.00 60.00 60.00°
Each line ends with the local moment (μB).
Fractional positions:
Co1 0.000 0.000 0.000  1.23
Th1 0.750 0.750 0.750  -0.02
Sn1 0.250 0.250 0.250  0.05
Rh1 0.500 0.500 0.500  0.31